Sm2CdRh3 (GGA-PBE, optimized geometry); space group = Immm; energy of formation from the pure elements = -0.31 eV/atom; VASP energy = -5.715 eV per atom
1.0
-2.3613 2.7519 4.8879
2.3613 -2.7519 4.8879
2.3613 2.7519 -4.8879
Sm Cd Rh
2 1 3
Direct
0.1798 0.1798 0.0000 Sm
0.8202 0.8202 0.0000 Sm
0.5000 0.5000 0.0000 Cd
0.0000 0.5000 0.5000 Rh
0.3569 0.8569 0.5000 Rh
0.6431 0.1431 0.5000 Rh

***

SmCdRh (GGA-PBE, optimized geometry); space group = I4mm; energy of formation from the pure elements = -0.42 eV/atom; VASP energy = -4.752 eV per atom
1.0
-1.7677 1.7677 5.2510
1.7677 -1.7677 5.2510
1.7677 1.7677 -5.2510
Sm Cd Rh
1 1 1
Direct
0.0000 0.0000 0.0000 Sm
0.7059 0.7059 0.0000 Cd
0.3518 0.3518 0.0000 Rh

***

Sm5CdRh (GGA-PBE, optimized geometry); space group = C2/c; energy of formation from the pure elements = -0.22 eV/atom; VASP energy = -4.773 eV per atom
1.0
4.6949 -3.8078 0.0000
4.6949 3.8078 0.0000
-3.3447 0.0000 11.5335
Sm Cd Rh
10 2 2
Direct
0.0006 0.9994 0.7500 Sm
0.0807 0.4188 0.6260 Sm
0.2097 0.5403 0.9355 Sm
0.4188 0.0807 0.1260 Sm
0.4597 0.7903 0.5645 Sm
0.5403 0.2097 0.4355 Sm
0.5812 0.9193 0.8740 Sm
0.7903 0.4597 0.0645 Sm
0.9193 0.5812 0.3740 Sm
0.9994 0.0006 0.2500 Sm
0.4053 0.5947 0.2500 Cd
0.5947 0.4053 0.7500 Cd
0.0000 0.0000 0.0000 Rh
0.0000 0.0000 0.5000 Rh

***

Sm4Cd5Rh2 (GGA-PBE, optimized geometry); space group = P2/m; energy of formation from the pure elements = -0.48 eV/atom; VASP energy = -3.947 eV per atom
1.0
7.7799 0.0000 0.0000
0.0000 3.7156 0.0000
-0.7053 0.0000 9.6212
Sm Cd Rh
4 5 2
Direct
0.1711 0.0000 0.3502 Sm
0.2187 0.0000 0.9452 Sm
0.7813 0.0000 0.0548 Sm
0.8289 0.0000 0.6498 Sm
0.1850 0.5000 0.6514 Cd
0.4533 0.5000 0.1767 Cd
0.5000 0.5000 0.5000 Cd
0.5467 0.5000 0.8233 Cd
0.8150 0.5000 0.3486 Cd
0.0743 0.5000 0.1434 Rh
0.9257 0.5000 0.8566 Rh

***

Sm2CdRh (GGA-PBE, optimized geometry); space group = R-3m; energy of formation from the pure elements = -0.46 eV/atom; VASP energy = -4.885 eV per atom
1.0
1.9934 1.1509 8.1482
-1.9934 1.1509 8.1482
0.0000 -2.3017 8.1482
Sm Cd Rh
2 1 1
Direct
0.2327 0.2327 0.2327 Sm
0.7673 0.7673 0.7673 Sm
0.0000 0.0000 0.0000 Cd
0.5000 0.5000 0.5000 Rh

***

Sm6Cd3Rh (GGA-PBE, optimized geometry); space group = P2_1/m; energy of formation from the pure elements = -0.31 eV/atom; VASP energy = -4.150 eV per atom
1.0
9.2003 0.0000 0.0000
0.0000 5.3826 0.0000
-3.6806 0.0000 11.0854
Sm Cd Rh
12 6 2
Direct
0.0359 0.2500 0.4149 Sm
0.1805 0.7500 0.1634 Sm
0.2740 0.2500 0.9990 Sm
0.3538 0.7500 0.8289 Sm
0.3716 0.2500 0.3476 Sm
0.4002 0.2500 0.6456 Sm
0.5998 0.7500 0.3544 Sm
0.6284 0.7500 0.6524 Sm
0.6462 0.2500 0.1711 Sm
0.7260 0.7500 0.0010 Sm
0.8195 0.2500 0.8366 Sm
0.9641 0.7500 0.5851 Sm
0.0134 0.7500 0.8696 Cd
0.0885 0.2500 0.7165 Cd
0.2702 0.7500 0.4729 Cd
0.7298 0.2500 0.5271 Cd
0.9115 0.7500 0.2835 Cd
0.9866 0.2500 0.1304 Cd
0.4577 0.7500 0.0939 Rh
0.5423 0.2500 0.9061 Rh

***

SmCdRh (GGA-PBE, optimized geometry); space group = Cmcm; energy of formation from the pure elements = -0.57 eV/atom; VASP energy = -4.895 eV per atom
1.0
1.9402 -8.7818 0.0000
1.9402 8.7818 0.0000
0.0000 0.0000 4.0240
Sm Cd Rh
2 2 2
Direct
0.0944 0.9056 0.7500 Sm
0.9056 0.0944 0.2500 Sm
0.2909 0.7091 0.7500 Cd
0.7091 0.2909 0.2500 Cd
0.4494 0.5506 0.7500 Rh
0.5506 0.4494 0.2500 Rh

***

Sm12Cd3Rh5 (GGA-PBE, optimized geometry); space group = Ia-3d; energy of formation from the pure elements = -0.16 eV/atom; VASP energy = -4.971 eV per atom
1.0
-8.6196 8.6196 8.6196
8.6196 -8.6196 8.6196
8.6196 8.6196 -8.6196
Sm Cd Rh
48 12 20
Direct
0.0333 0.2085 0.1212 Sm
0.0333 0.3247 0.9121 Sm
0.0873 0.7085 0.6753 Sm
0.0873 0.8788 0.4121 Sm
0.0879 0.6212 0.4127 Sm
0.0879 0.9667 0.6753 Sm
0.1212 0.0333 0.2085 Sm
0.1212 0.5879 0.9127 Sm
0.1753 0.2085 0.5873 Sm
0.1753 0.4667 0.5879 Sm
0.2085 0.1212 0.0333 Sm
0.2085 0.5873 0.1753 Sm
0.2915 0.3247 0.9127 Sm
0.2915 0.4667 0.3788 Sm
0.3247 0.9121 0.0333 Sm
0.3247 0.9127 0.2915 Sm
0.3788 0.2915 0.4667 Sm
0.3788 0.5873 0.9121 Sm
0.4121 0.0873 0.8788 Sm
0.4121 0.8247 0.5333 Sm
0.4127 0.0879 0.6212 Sm
0.4127 0.8247 0.7915 Sm
0.4667 0.3788 0.2915 Sm
0.4667 0.5879 0.1753 Sm
0.5333 0.4121 0.8247 Sm
0.5333 0.6212 0.7085 Sm
0.5873 0.1753 0.2085 Sm
0.5873 0.9121 0.3788 Sm
0.5879 0.1753 0.4667 Sm
0.5879 0.9127 0.1212 Sm
0.6212 0.4127 0.0879 Sm
0.6212 0.7085 0.5333 Sm
0.6753 0.0873 0.7085 Sm
0.6753 0.0879 0.9667 Sm
0.7085 0.5333 0.6212 Sm
0.7085 0.6753 0.0873 Sm
0.7915 0.4127 0.8247 Sm
0.7915 0.8788 0.9667 Sm
0.8247 0.5333 0.4121 Sm
0.8247 0.7915 0.4127 Sm
0.8788 0.4121 0.0873 Sm
0.8788 0.9667 0.7915 Sm
0.9121 0.0333 0.3247 Sm
0.9121 0.3788 0.5873 Sm
0.9127 0.1212 0.5879 Sm
0.9127 0.2915 0.3247 Sm
0.9667 0.6753 0.0879 Sm
0.9667 0.7915 0.8788 Sm
0.1250 0.2500 0.3750 Cd
0.1250 0.3750 0.7500 Cd
0.2500 0.3750 0.1250 Cd
0.2500 0.8750 0.6250 Cd
0.3750 0.1250 0.2500 Cd
0.3750 0.7500 0.1250 Cd
0.6250 0.2500 0.8750 Cd
0.6250 0.8750 0.7500 Cd
0.7500 0.1250 0.3750 Cd
0.7500 0.6250 0.8750 Cd
0.8750 0.6250 0.2500 Cd
0.8750 0.7500 0.6250 Cd
0.0000 0.0000 0.0000 Rh
0.0000 0.0000 0.5000 Rh
0.0000 0.5000 0.0000 Rh
0.0000 0.5000 0.5000 Rh
0.1250 0.7500 0.8750 Rh
0.1250 0.8750 0.2500 Rh
0.2500 0.1250 0.8750 Rh
0.2500 0.6250 0.3750 Rh
0.3750 0.2500 0.6250 Rh
0.3750 0.6250 0.7500 Rh
0.5000 0.0000 0.0000 Rh
0.5000 0.0000 0.5000 Rh
0.5000 0.5000 0.0000 Rh
0.5000 0.5000 0.5000 Rh
0.6250 0.3750 0.2500 Rh
0.6250 0.7500 0.3750 Rh
0.7500 0.3750 0.6250 Rh
0.7500 0.8750 0.1250 Rh
0.8750 0.1250 0.7500 Rh
0.8750 0.2500 0.1250 Rh

***

Sm3Cd2Rh3 (GGA-PBE, optimized geometry); space group = P6_3/mcm; energy of formation from the pure elements = -0.55 eV/atom; VASP energy = -5.304 eV per atom
1.0
8.3837 0.0000 0.0000
-4.1919 7.2605 0.0000
0.0000 0.0000 5.8570
Sm Cd Rh
6 4 6
Direct
0.0000 0.2763 0.2500 Sm
0.0000 0.7237 0.7500 Sm
0.2763 0.0000 0.2500 Sm
0.2763 0.2763 0.7500 Sm
0.7237 0.0000 0.7500 Sm
0.7237 0.7237 0.2500 Sm
0.3333 0.6667 0.0000 Cd
0.3333 0.6667 0.5000 Cd
0.6667 0.3333 0.0000 Cd
0.6667 0.3333 0.5000 Cd
0.0000 0.3857 0.7500 Rh
0.0000 0.6143 0.2500 Rh
0.3857 0.0000 0.7500 Rh
0.3857 0.3857 0.2500 Rh
0.6143 0.0000 0.2500 Rh
0.6143 0.6143 0.7500 Rh

***

Sm7Cd2Rh2 (GGA-PBE, optimized geometry); space group = Imm2; energy of formation from the pure elements = -0.35 eV/atom; VASP energy = -4.853 eV per atom
1.0
-1.9028 7.7633 5.3190
1.9028 -7.7633 5.3190
1.9028 7.7633 -5.3190
Sm Cd Rh
7 2 2
Direct
0.0000 0.0000 0.0000 Sm
0.0645 0.7077 0.3568 Sm
0.3388 0.5077 0.8311 Sm
0.3509 0.7077 0.6432 Sm
0.6494 0.3052 0.3442 Sm
0.6766 0.5077 0.1689 Sm
0.9610 0.3052 0.6558 Sm
0.4529 0.9529 0.5000 Cd
0.6941 0.6941 0.0000 Cd
0.2085 0.0160 0.1926 Rh
0.8234 0.0160 0.8074 Rh

***

SmCdRh (GGA-PBE, optimized geometry); space group = C2/m; energy of formation from the pure elements = -0.39 eV/atom; VASP energy = -4.719 eV per atom
1.0
4.9185 -2.0105 0.0000
4.9185 2.0105 0.0000
-1.5062 0.0000 7.2972
Sm Cd Rh
2 2 2
Direct
0.1169 0.1169 0.3242 Sm
0.8831 0.8831 0.6758 Sm
0.3673 0.3673 0.0565 Cd
0.6327 0.6327 0.9435 Cd
0.1810 0.1810 0.7071 Rh
0.8190 0.8190 0.2929 Rh

***

Sm2Cd3Rh2 (GGA-PBE, optimized geometry); space group = C2/m; energy of formation from the pure elements = -0.48 eV/atom; VASP energy = -4.318 eV per atom
1.0
5.0469 -2.1018 0.0000
5.0469 2.1018 0.0000
-0.9396 0.0000 7.4021
Sm Cd Rh
2 3 2
Direct
0.1246 0.1246 0.3593 Sm
0.8754 0.8754 0.6407 Sm
0.1915 0.1915 0.8695 Cd
0.5000 0.5000 0.0000 Cd
0.8085 0.8085 0.1305 Cd
0.4101 0.4101 0.3513 Rh
0.5899 0.5899 0.6487 Rh

***

SmCdRh (GGA-PBE, optimized geometry); space group = P-6m2; energy of formation from the pure elements = -0.38 eV/atom; VASP energy = -4.712 eV per atom
1.0
4.6920 0.0000 0.0000
-2.3460 4.0634 0.0000
0.0000 0.0000 3.5346
Sm Cd Rh
1 1 1
Direct
0.0000 0.0000 0.0000 Sm
0.3333 0.6667 0.5000 Cd
0.6667 0.3333 0.5000 Rh

***

Sm4Cd3Rh (GGA-PBE, optimized geometry); space group = P4/mmm; energy of formation from the pure elements = -0.42 eV/atom; VASP energy = -4.041 eV per atom
1.0
3.6841 0.0000 0.0000
0.0000 3.6841 0.0000
0.0000 0.0000 15.3510
Sm Cd Rh
4 3 1
Direct
0.0000 0.0000 0.1058 Sm
0.0000 0.0000 0.3704 Sm
0.0000 0.0000 0.6296 Sm
0.0000 0.0000 0.8942 Sm
0.5000 0.5000 0.2421 Cd
0.5000 0.5000 0.5000 Cd
0.5000 0.5000 0.7579 Cd
0.5000 0.5000 0.0000 Rh

***

Sm3Cd4Rh4 (GGA-PBE, optimized geometry); space group = Immm; energy of formation from the pure elements = -0.44 eV/atom; VASP energy = -4.730 eV per atom
1.0
-1.9407 4.0051 7.6815
1.9407 -4.0051 7.6815
1.9407 4.0051 -7.6815
Sm Cd Rh
3 4 4
Direct
0.0000 0.0000 0.0000 Sm
0.3882 0.8882 0.5000 Sm
0.6118 0.1118 0.5000 Sm
0.0172 0.3308 0.6864 Cd
0.3556 0.6692 0.6864 Cd
0.6444 0.3308 0.3136 Cd
0.9828 0.6692 0.3136 Cd
0.2504 0.2504 0.0000 Rh
0.3015 0.5000 0.8015 Rh
0.6985 0.5000 0.1985 Rh
0.7496 0.7496 0.0000 Rh

***

Sm2CdRh (GGA-PBE, optimized geometry); space group = Fm-3m; energy of formation from the pure elements = -0.46 eV/atom; VASP energy = -4.887 eV per atom
1.0
0.0000 3.6493 3.6493
3.6493 0.0000 3.6493
3.6493 3.6493 0.0000
Sm Cd Rh
2 1 1
Direct
0.2500 0.2500 0.2500 Sm
0.7500 0.7500 0.7500 Sm
0.0000 0.0000 0.0000 Cd
0.5000 0.5000 0.5000 Rh

***

Sm2Cd2Rh3 (GGA-PBE, optimized geometry); space group = P-1; energy of formation from the pure elements = -0.49 eV/atom; VASP energy = -5.251 eV per atom
1.0
4.7984 0.0000 0.0000
2.3851 4.1749 0.0000
0.0117 2.7441 7.3616
Sm Cd Rh
2 2 3
Direct
0.1146 0.2712 0.3412 Sm
0.8854 0.7288 0.6588 Sm
0.3708 0.7601 0.1061 Cd
0.6292 0.2399 0.8939 Cd
0.2427 0.0140 0.7343 Rh
0.5000 0.5000 0.5000 Rh
0.7573 0.9860 0.2657 Rh

***

Sm4CdRh (GGA-PBE, optimized geometry); space group = F-43m; energy of formation from the pure elements = -0.45 eV/atom; VASP energy = -4.977 eV per atom
1.0
0.0000 6.9388 6.9388
6.9388 0.0000 6.9388
6.9388 6.9388 0.0000
Sm Cd Rh
16 4 4
Direct
0.0603 0.0603 0.4397 Sm
0.0603 0.4397 0.0603 Sm
0.0603 0.4397 0.4397 Sm
0.1869 0.1869 0.8131 Sm
0.1869 0.8131 0.1869 Sm
0.1869 0.8131 0.8131 Sm
0.2017 0.5994 0.5994 Sm
0.4397 0.0603 0.0603 Sm
0.4397 0.0603 0.4397 Sm
0.4397 0.4397 0.0603 Sm
0.5994 0.2017 0.5994 Sm
0.5994 0.5994 0.2017 Sm
0.5994 0.5994 0.5994 Sm
0.8131 0.1869 0.1869 Sm
0.8131 0.1869 0.8131 Sm
0.8131 0.8131 0.1869 Sm
0.5086 0.8305 0.8305 Cd
0.8305 0.5086 0.8305 Cd
0.8305 0.8305 0.5086 Cd
0.8305 0.8305 0.8305 Cd
0.3923 0.3923 0.3923 Rh
0.3923 0.3923 0.8232 Rh
0.3923 0.8232 0.3923 Rh
0.8232 0.3923 0.3923 Rh

***

Sm6CdRh5 (GGA-PBE, optimized geometry); space group = P2/m; energy of formation from the pure elements = -0.64 eV/atom; VASP energy = -6.136 eV per atom
1.0
4.9796 0.0000 0.0000
0.0000 7.1854 0.0000
-2.4905 0.0000 7.4848
Sm Cd Rh
6 1 5
Direct
0.0000 0.2350 0.0000 Sm
0.0000 0.7650 0.0000 Sm
0.3282 0.2454 0.6559 Sm
0.3282 0.7546 0.6559 Sm
0.6718 0.2454 0.3441 Sm
0.6718 0.7546 0.3441 Sm
0.5000 0.5000 0.0000 Cd
0.1599 0.5000 0.3219 Rh
0.1680 0.0000 0.3372 Rh
0.5000 0.0000 0.0000 Rh
0.8320 0.0000 0.6628 Rh
0.8401 0.5000 0.6781 Rh